Density functional theory data (GGA-PBE) for a relaxed CaTb4Dy3S8 crystal.

As for the uncorrected formation energy: -2.010 eV/atom. The energy is -298.52 eV/cell.

The space group is R-3m (No. 166, hexagonal axes) and the conventional cell measures 7.8520, 7.8520 and 19.2490 Å, with angles of 90.00, 90.00 and 120.00 degrees. The inequivalent atoms are Ca at (0.0000, 0.0000, 0.0000), Tb at (0.0000, 0.0000, 0.5000), Tb at (0.0000, 0.5000, 0.5000), Dy at (0.0000, 0.5000, 0.0000), S at (0.0000, 0.0000, 0.2507) and S at (0.0008, 0.5004, 0.2505).

---

Density functional theory data (GGA-PBE) for a relaxed CaTb3Dy4S8 crystal.

As for the uncorrected formation energy: -2.008 eV/atom. The energy is -298.35 eV/cell.

The space group is R-3m (No. 166, hexagonal axes) and the conventional cell measures 7.8504, 7.8504 and 19.2192 Å, with angles of 90.00, 90.00 and 120.00 degrees. The inequivalent atoms are Ca at (0.0000, 0.0000, 0.0000), Tb at (0.0000, 0.5000, 0.0000), Dy at (0.0000, 0.0000, 0.5000), Dy at (0.0000, 0.5000, 0.5000), S at (0.0000, 0.0000, 0.2493) and S at (0.9999, 0.5000, 0.2493).

---

Question: Number 2 is which compound?
Answer: CaTb3Dy4S8

---

Question: Which formula does entry 1 have?
Answer: CaTb4Dy3S8

---

Question: What is the energy in the first record?
Answer: -298.52 eV/cell